i | # NaZrSc, relaxed, DFT GGA-PBE
# Space-group type: P-6m2, No. 187
# N(E_F), states/eV per cell: 3.05
data_NaZrSc
_chemical_formula_sum 'Na1 Zr1 Sc1'
_cell_length_a 5.536
_cell_length_b 5.536
_cell_length_c 2.867
_cell_angle_alpha 90.00
_cell_angle_beta 90.00
_cell_angle_gamma 120.00
_symmetry_space_group_name_H-M 'P 1'
_symmetry_Int_Tables_number 1
_symmetry_space_group_name_Hall 'P 1'
loop_
_atom_site_label
_atom_site_type_symbol
_atom_site_fract_x
_atom_site_fract_y
_atom_site_fract_z
Na1 Na 0.667 0.333 0.500
Zr1 Zr 0.333 0.667 0.000
Sc1 Sc 0.000 0.000 0.000

ii | # NaZrSc, relaxed, DFT GGA-PBE
# Space-group type: P1, No. 1
# N(E_F), states/eV per cell: 5.98
data_NaZrSc
_chemical_formula_sum 'Na2 Zr2 Sc2'
_cell_length_a 3.230
_cell_length_b 3.230
_cell_length_c 15.641
_cell_angle_alpha 90.01
_cell_angle_beta 101.83
_cell_angle_gamma 89.99
_symmetry_space_group_name_H-M 'P 1'
_symmetry_Int_Tables_number 1
_symmetry_space_group_name_Hall 'P 1'
loop_
_atom_site_label
_atom_site_type_symbol
_atom_site_fract_x
_atom_site_fract_y
_atom_site_fract_z
Na1 Na 0.030 0.144 0.516
Na2 Na 0.324 0.645 0.316
Zr1 Zr 0.351 0.143 0.838
Zr2 Zr 0.713 0.643 0.699
Sc1 Sc 0.646 0.144 0.136
Sc2 Sc 0.000 0.643 0.989

iii | # NaZrSc, relaxed, DFT GGA-PBE
# Space-group type: P6_3/mmc, No. 194
# N(E_F), states/eV per cell: 7.03
data_NaZrSc
_chemical_formula_sum 'Na2 Zr2 Sc2'
_cell_length_a 5.500
_cell_length_b 5.500
_cell_length_c 5.900
_cell_angle_alpha 90.00
_cell_angle_beta 90.00
_cell_angle_gamma 120.00
_symmetry_space_group_name_H-M 'P 1'
_symmetry_Int_Tables_number 1
_symmetry_space_group_name_Hall 'P 1'
loop_
_atom_site_label
_atom_site_type_symbol
_atom_site_fract_x
_atom_site_fract_y
_atom_site_fract_z
Na1 Na 0.000 0.000 0.500
Na2 Na 0.000 0.000 0.000
Sc1 Sc 0.333 0.667 0.750
Sc2 Sc 0.667 0.333 0.250
Zr1 Zr 0.333 0.667 0.250
Zr2 Zr 0.667 0.333 0.750

Stability verdict: ii, ahead by 460 meV per atom

i | # NaZrSc, relaxed, DFT GGA-PBE
# Space-group type: P-1, No. 2
# N(E_F), states/eV per cell: 9.03
data_NaZrSc
_chemical_formula_sum 'Na2 Zr2 Sc2'
_cell_length_a 17.133
_cell_length_b 3.288
_cell_length_c 3.290
_cell_angle_alpha 60.01
_cell_angle_beta 95.23
_cell_angle_gamma 94.92
_symmetry_space_group_name_H-M 'P 1'
_symmetry_Int_Tables_number 1
_symmetry_space_group_name_Hall 'P 1'
loop_
_atom_site_label
_atom_site_type_symbol
_atom_site_fract_x
_atom_site_fract_y
_atom_site_fract_z
Zr1 Zr 0.423 0.647 0.142
Zr2 Zr 0.577 0.353 0.858
Sc1 Sc 0.279 0.274 0.760
Sc2 Sc 0.721 0.726 0.240
Na1 Na 0.097 0.886 0.361
Na2 Na 0.903 0.114 0.639

ii | # NaZrSc, relaxed, DFT GGA-PBE
# Space-group type: P4/nmm, No. 129
# N(E_F), states/eV per cell: 5.76
data_NaZrSc
_chemical_formula_sum 'Na2 Zr2 Sc2'
_cell_length_a 3.734
_cell_length_b 3.734
_cell_length_c 12.234
_cell_angle_alpha 90.00
_cell_angle_beta 90.00
_cell_angle_gamma 90.00
_symmetry_space_group_name_H-M 'P 1'
_symmetry_Int_Tables_number 1
_symmetry_space_group_name_Hall 'P 1'
loop_
_atom_site_label
_atom_site_type_symbol
_atom_site_fract_x
_atom_site_fract_y
_atom_site_fract_z
Sc1 Sc 0.000 0.500 0.695
Sc2 Sc 0.500 0.000 0.305
Na1 Na 0.000 0.500 0.107
Na2 Na 0.500 0.000 0.893
Zr1 Zr 0.000 0.500 0.445
Zr2 Zr 0.500 0.000 0.555

Stability verdict: i, ahead by 43 meV per atom

i | # Na2ZrSc, relaxed, DFT GGA-PBE
# Space-group type: I-42d, No. 122
# N(E_F), states/eV per cell: 9.47
data_Na2ZrSc
_chemical_formula_sum 'Na4 Zr2 Sc2'
_cell_length_a 8.584
_cell_length_b 8.584
_cell_length_c 6.704
_cell_angle_alpha 50.19
_cell_angle_beta 50.19
_cell_angle_gamma 90.00
_symmetry_space_group_name_H-M 'P 1'
_symmetry_Int_Tables_number 1
_symmetry_space_group_name_Hall 'P 1'
loop_
_atom_site_label
_atom_site_type_symbol
_atom_site_fract_x
_atom_site_fract_y
_atom_site_fract_z
Zr1 Zr 0.000 0.000 0.000
Zr2 Zr 0.750 0.250 0.500
Sc1 Sc 0.500 0.500 0.000
Sc2 Sc 0.250 0.750 0.500
Na1 Na 0.875 0.870 0.750
Na2 Na 0.375 0.380 0.750
Na3 Na 0.130 0.625 0.250
Na4 Na 0.620 0.125 0.250

ii | # Na2ZrSc, relaxed, DFT GGA-PBE
# Space-group type: Fm-3m, No. 225
# N(E_F), states/eV per cell: 5.00
data_Na2ZrSc
_chemical_formula_sum 'Na2 Zr1 Sc1'
_cell_length_a 5.282
_cell_length_b 5.282
_cell_length_c 5.282
_cell_angle_alpha 60.00
_cell_angle_beta 60.00
_cell_angle_gamma 60.00
_symmetry_space_group_name_H-M 'P 1'
_symmetry_Int_Tables_number 1
_symmetry_space_group_name_Hall 'P 1'
loop_
_atom_site_label
_atom_site_type_symbol
_atom_site_fract_x
_atom_site_fract_y
_atom_site_fract_z
Na1 Na 0.750 0.750 0.750
Na2 Na 0.250 0.250 0.250
Sc1 Sc 0.000 0.000 0.000
Zr1 Zr 0.500 0.500 0.500

Stability verdict: ii, ahead by 60 meV per atom

i | # NaZr2Sc, relaxed, DFT GGA-PBE
# Space-group type: Fm-3m, No. 225
# N(E_F), states/eV per cell: 6.49
data_NaZr2Sc
_chemical_formula_sum 'Na1 Zr2 Sc1'
_cell_length_a 5.122
_cell_length_b 5.122
_cell_length_c 5.122
_cell_angle_alpha 60.00
_cell_angle_beta 60.00
_cell_angle_gamma 60.00
_symmetry_space_group_name_H-M 'P 1'
_symmetry_Int_Tables_number 1
_symmetry_space_group_name_Hall 'P 1'
loop_
_atom_site_label
_atom_site_type_symbol
_atom_site_fract_x
_atom_site_fract_y
_atom_site_fract_z
Na1 Na 0.000 0.000 0.000
Zr1 Zr 0.250 0.250 0.250
Zr2 Zr 0.750 0.750 0.750
Sc1 Sc 0.500 0.500 0.500

ii | # NaZr2Sc, relaxed, DFT GGA-PBE
# Space-group type: I-42d, No. 122
# N(E_F), states/eV per cell: 14.44
data_NaZr2Sc
_chemical_formula_sum 'Na2 Zr4 Sc2'
_cell_length_a 4.169
_cell_length_b 4.169
_cell_length_c 11.722
_cell_angle_alpha 79.76
_cell_angle_beta 79.76
_cell_angle_gamma 90.00
_symmetry_space_group_name_H-M 'P 1'
_symmetry_Int_Tables_number 1
_symmetry_space_group_name_Hall 'P 1'
loop_
_atom_site_label
_atom_site_type_symbol
_atom_site_fract_x
_atom_site_fract_y
_atom_site_fract_z
Sc1 Sc 0.750 0.250 0.500
Sc2 Sc 0.000 0.000 0.000
Zr1 Zr 0.125 0.625 0.250
Zr2 Zr 0.375 0.375 0.750
Zr3 Zr 0.625 0.125 0.250
Zr4 Zr 0.875 0.875 0.750
Na1 Na 0.500 0.500 0.000
Na2 Na 0.250 0.750 0.500

Stability verdict: i, ahead by 137 meV per atom